# CaInCo2

CaInCo2 after structural relaxation (PBE, Alexandria via LeMat-Bulk).

Output
DOS at the Fermi energy: 7.58 states/eV/f.u.
crystal system: tetragonal
energy of formation from the pure elements: 0.358 eV/atom

Cell lengths 4.040, 4.040, 8.621 Å; angles 90.00, 90.00, 90.00 degrees
Space group I-4m2 (No. 119)
Symmetry-distinct sites (fractional):
Ca1 0.000 0.000 0.000 [2 per cell]
In1 0.000 0.500 0.250 [2 per cell]
Co1 0.000 0.000 0.500 [2 per cell]
Co2 0.000 0.500 0.750 [2 per cell]


# Np3Cr5N12

Np3Cr5N12 after structural relaxation (PBE, Alexandria via LeMat-Bulk).

Output
DOS at the Fermi energy: 18.61 states/eV/f.u.
crystal system: cubic

Cell lengths 12.208, 12.208, 12.208 Å; angles 90.00, 90.00, 90.00 degrees
Space group Ia-3d (No. 230)
Symmetry-distinct sites (fractional):
Np1 0.000 0.250 0.125 [24 per cell]
Cr1 0.000 0.000 0.000 [16 per cell]
Cr2 0.000 0.250 0.375 [24 per cell]
N1 0.029 0.054 0.654 [96 per cell]


# MgCuPd2Se

MgCuPd2Se after structural relaxation (PBE, Alexandria via LeMat-Bulk).

Output
DOS at the Fermi energy: 2.59 states/eV/f.u.
crystal system: tetragonal
excess energy over the best structure of this formula in the dataset: 56.81 kJ per mole of atoms

Cell lengths 4.699, 4.699, 4.782 Å; angles 90.00, 90.00, 90.00 degrees
Space group P4/mmm (No. 123)
Symmetry-distinct sites (fractional):
Mg1 0.000 0.000 0.000 [1 per cell]
Cu1 0.500 0.500 0.500 [1 per cell]
Pd1 0.000 0.500 0.000 [2 per cell]
Se1 0.000 0.000 0.500 [1 per cell]


# PmDy12Ho6

PmDy12Ho6 after structural relaxation (PBE, Alexandria via LeMat-Bulk).

Output
DOS at the Fermi energy: 32.62 states/eV/f.u.
crystal system: trigonal
energy of formation from the pure elements: 0.156 eV/atom
excess energy over the best structure of this formula in the dataset: 0.00 kJ per mole of atoms

Cell lengths 11.8594, 11.8594, 15.1096 Å; angles 90.00, 90.00, 120.00 degrees
Space group R-3 (No. 148, hexagonal axes)
Symmetry-distinct sites (fractional):
Pm1 0.0000 0.0000 0.0000 [3 per cell]
Dy1 0.0157 0.8348 0.1915 [18 per cell]
Dy2 0.0414 0.8510 0.4159 [18 per cell]
Ho1 0.0096 0.4228 0.6801 [18 per cell]


# KBC

KBC after structural relaxation (PBE, Alexandria via LeMat-Bulk).

Output
DOS at the Fermi energy: 0.00 states/eV/f.u.
crystal system: tetragonal
energy of formation from the pure elements: 0.108 eV/atom

Cell lengths 4.246, 4.246, 2.858 Å; angles 90.00, 90.00, 90.00 degrees
Space group P4mm (No. 99)
Symmetry-distinct sites (fractional):
K1 0.000 0.000 0.000 [1 per cell]
B1 0.500 0.500 0.994 [1 per cell]
C1 0.500 0.500 0.494 [1 per cell]


# TcBPCl2

TcBPCl2 after structural relaxation (PBE, Alexandria via LeMat-Bulk).

Output
DOS at the Fermi energy: 3.78 states/eV/f.u.
crystal system: tetragonal

Cell lengths 4.928, 4.928, 4.545 Å; angles 90.00, 90.00, 90.00 degrees
Space group P4/mmm (No. 123)
Symmetry-distinct sites (fractional):
Tc1 0.000 0.000 0.000 [1 per cell]
B1 0.500 0.500 0.500 [1 per cell]
P1 0.000 0.000 0.500 [1 per cell]
Cl1 0.000 0.500 0.000 [2 per cell]


# ZrScTl2

ZrScTl2 after structural relaxation (PBE, Alexandria via LeMat-Bulk).

Output
DOS at the Fermi energy: 4.16 states/eV/f.u.
crystal system: orthorhombic
energy of formation from the pure elements: -0.009 eV/atom

Cell lengths 3.508, 4.443, 6.257 Å; angles 90.00, 90.00, 90.00 degrees
Space group Pmm2 (No. 25)
Symmetry-distinct sites (fractional):
Zr1 0.000 0.000 0.000 [1 per cell]
Sc1 0.500 0.500 0.256 [1 per cell]
Tl1 0.000 0.000 0.487 [1 per cell]
Tl2 0.500 0.500 0.771 [1 per cell]


# Ga3Pb2

Ga3Pb2 after structural relaxation (PBE, Alexandria via LeMat-Bulk).

Output
DOS at the Fermi energy: 2.14 states/eV/f.u.
crystal system: trigonal
energy of formation from the pure elements: 0.070 eV/atom
excess energy over the best structure of this formula in the dataset: 0.00 kJ per mole of atoms

Cell lengths 3.3954, 3.3954, 36.9882 Å; angles 90.00, 90.00, 120.00 degrees
Space group R-3m (No. 166, hexagonal axes)
Symmetry-distinct sites (fractional):
Ga1 0.0000 0.0000 0.0000 [3 per cell]
Ga2 0.0000 0.0000 0.3873 [6 per cell]
Pb1 0.0000 0.0000 0.2093 [6 per cell]


# CsCl

CsCl after structural relaxation (PBE, Alexandria via LeMat-Bulk).

Output
DOS at the Fermi energy: 0.00 states/eV/f.u.
crystal system: tetragonal

Cell lengths 11.781, 11.781, 6.967 Å; angles 90.00, 90.00, 90.00 degrees
Space group I4/m (No. 87)
Symmetry-distinct sites (fractional):
Cs1 0.146 0.649 0.000 [8 per cell]
Cl1 0.145 0.648 0.500 [8 per cell]


# Nd2DyTm

Nd2DyTm after structural relaxation (PBE, Alexandria via LeMat-Bulk).

Output
DOS at the Fermi energy: 7.27 states/eV/f.u.
crystal system: cubic
energy of formation from the pure elements: 0.107 eV/atom
excess energy over the best structure of this formula in the dataset: 8.94 kJ per mole of atoms

Cell lengths 8.100, 8.100, 8.100 Å; angles 90.00, 90.00, 90.00 degrees
Space group Fm-3m (No. 225)
Symmetry-distinct sites (fractional):
Nd1 0.250 0.250 0.250 [8 per cell]
Dy1 0.000 0.000 0.000 [4 per cell]
Tm1 0.000 0.000 0.500 [4 per cell]


# Rb4NdHo3Te8

Rb4NdHo3Te8 after structural relaxation (PBE, Alexandria via LeMat-Bulk).

Output
crystal system: trigonal

Cell lengths 9.0935, 9.0935, 25.6754 Å; angles 90.00, 90.00, 120.00 degrees
Space group R-3m (No. 166, hexagonal axes)
Symmetry-distinct sites (fractional):
Rb1 0.0000 0.0000 0.0000 [3 per cell]
Rb2 0.0000 0.5000 0.0000 [9 per cell]
Nd1 0.0000 0.0000 0.5000 [3 per cell]
Ho1 0.0000 0.5000 0.5000 [9 per cell]
Te1 0.0000 0.0000 0.2325 [6 per cell]
Te2 0.0075 0.5038 0.7664 [18 per cell]


# Ac2Ni4AsP3

Ac2Ni4AsP3 after structural relaxation (PBE, Alexandria via LeMat-Bulk).

Output
DOS at the Fermi energy: 5.14 states/eV/f.u.
crystal system: tetragonal
energy of formation from the pure elements: -0.865 eV/atom

Cell lengths 4.222, 4.222, 9.494 Å; angles 90.00, 90.00, 90.00 degrees
Space group P-4m2 (No. 115)
Symmetry-distinct sites (fractional):
Ac1 0.000 0.500 0.246 [2 per cell]
Ni1 0.000 0.000 0.000 [1 per cell]
Ni2 0.000 0.500 0.617 [2 per cell]
Ni3 0.500 0.500 0.000 [1 per cell]
As1 0.000 0.000 0.500 [1 per cell]
P1 0.000 0.500 0.876 [2 per cell]
P2 0.500 0.500 0.500 [1 per cell]


# ThSc5Ni2

ThSc5Ni2 after structural relaxation (PBE, Alexandria via LeMat-Bulk).

Output
DOS at the Fermi energy: 8.44 states/eV/f.u.
crystal system: orthorhombic
energy of formation from the pure elements: -0.170 eV/atom

Cell lengths 3.592, 11.925, 16.331 Å; angles 90.00, 90.00, 90.00 degrees
Space group Cmcm (No. 63)
Symmetry-distinct sites (fractional):
Th1 0.000 0.148 0.250 [4 per cell]
Sc1 0.000 0.118 0.750 [4 per cell]
Sc2 0.000 0.152 0.038 [8 per cell]
Sc3 0.000 0.450 0.105 [8 per cell]
Ni1 0.000 0.251 0.624 [8 per cell]


# Ac4Tb2Pm5

Ac4Tb2Pm5 after structural relaxation (PBE, Alexandria via LeMat-Bulk).

Output
DOS at the Fermi energy: 17.89 states/eV/f.u.
crystal system: monoclinic
energy of formation from the pure elements: 0.043 eV/atom

Cell lengths 19.131, 5.351, 8.326 Å; angles 90.00, 104.52, 90.00 degrees
Space group C2/m (No. 12)
Symmetry-distinct sites (fractional):
Ac1 0.044 0.000 0.229 [4 per cell]
Ac2 0.182 0.500 0.408 [4 per cell]
Tb1 0.092 0.500 0.950 [4 per cell]
Pm1 0.000 0.500 0.500 [2 per cell]
Pm2 0.138 0.000 0.691 [4 per cell]
Pm3 0.226 0.000 0.125 [4 per cell]


# LiP2Ru

LiP2Ru after structural relaxation (PBE, Alexandria via LeMat-Bulk).

Output
DOS at the Fermi energy: 1.52 states/eV/f.u.
crystal system: trigonal
energy of formation from the pure elements: -0.302 eV/atom
excess energy over the best structure of this formula in the dataset: 5.25 kJ per mole of atoms

Cell lengths 2.9467, 2.9467, 22.6600 Å; angles 90.00, 90.00, 120.00 degrees
Space group R-3m (No. 166, hexagonal axes)
Symmetry-distinct sites (fractional):
Li1 0.0000 0.0000 0.0000 [3 per cell]
P1 0.0000 0.0000 0.2438 [6 per cell]
Ru1 0.0000 0.0000 0.5000 [3 per cell]


# NbTcHg2H

NbTcHg2H after structural relaxation (PBE, Alexandria via LeMat-Bulk).

Output
DOS at the Fermi energy: 3.31 states/eV/f.u.
crystal system: tetragonal

Cell lengths 4.453, 4.453, 3.857 Å; angles 90.00, 90.00, 90.00 degrees
Space group P4/mmm (No. 123)
Symmetry-distinct sites (fractional):
Nb1 0.000 0.000 0.000 [1 per cell]
Tc1 0.500 0.500 0.000 [1 per cell]
Hg1 0.000 0.500 0.500 [2 per cell]
H1 0.000 0.000 0.500 [1 per cell]


# BaLiAcIr

BaLiAcIr after structural relaxation (PBE, Alexandria via LeMat-Bulk).

Output
DOS at the Fermi energy: 2.78 states/eV/f.u.
crystal system: cubic
energy of formation from the pure elements: -0.098 eV/atom

Cell lengths 7.664, 7.664, 7.664 Å; angles 90.00, 90.00, 90.00 degrees
Space group F-43m (No. 216)
Symmetry-distinct sites (fractional):
Ba1 0.000 0.000 0.000 [4 per cell]
Li1 0.250 0.250 0.750 [4 per cell]
Ac1 0.000 0.000 0.500 [4 per cell]
Ir1 0.250 0.250 0.250 [4 per cell]


# ErLuAlPt

ErLuAlPt after structural relaxation (PBE, Alexandria via LeMat-Bulk).

Output
DOS at the Fermi energy: 3.26 states/eV/f.u.
crystal system: cubic
energy of formation from the pure elements: -0.781 eV/atom

Cell lengths 7.002, 7.002, 7.002 Å; angles 90.00, 90.00, 90.00 degrees
Space group F-43m (No. 216)
Symmetry-distinct sites (fractional):
Er1 0.000 0.000 0.000 [4 per cell]
Lu1 0.000 0.000 0.500 [4 per cell]
Al1 0.250 0.250 0.250 [4 per cell]
Pt1 0.250 0.250 0.750 [4 per cell]


# Hf3Zr2Sc4

Hf3Zr2Sc4 after structural relaxation (PBE, Alexandria via LeMat-Bulk).

Output
DOS at the Fermi energy: 12.59 states/eV/f.u.
crystal system: trigonal
energy of formation from the pure elements: 0.031 eV/atom

Cell lengths 3.2293, 3.2293, 23.4485 Å; angles 90.00, 90.00, 120.00 degrees
Space group P3m1 (No. 156)
Symmetry-distinct sites (fractional):
Hf1 0.0000 0.0000 0.0000 [1 per cell]
Hf2 0.0000 0.0000 0.3392 [1 per cell]
Hf3 0.3333 0.6667 0.6690 [1 per cell]
Zr1 0.3333 0.6667 0.2341 [1 per cell]
Zr2 0.3333 0.6667 0.4480 [1 per cell]
Sc1 0.0000 0.0000 0.5603 [1 per cell]
Sc2 0.0000 0.0000 0.7760 [1 per cell]
Sc3 0.3333 0.6667 0.1063 [1 per cell]
Sc4 0.3333 0.6667 0.8921 [1 per cell]


# PmInH8Ru2

PmInH8Ru2 after structural relaxation (PBE, Alexandria via LeMat-Bulk).

Output
DOS at the Fermi energy: 1.11 states/eV/f.u.
crystal system: monoclinic

Cell lengths 8.350, 4.397, 6.336 Å; angles 90.00, 112.45, 90.00 degrees
Space group C2/m (No. 12)
Symmetry-distinct sites (fractional):
Pm1 0.000 0.000 0.000 [2 per cell]
In1 0.000 0.500 0.500 [2 per cell]
H1 0.078 0.500 0.162 [4 per cell]
H2 0.190 0.245 0.833 [8 per cell]
H3 0.204 0.000 0.379 [4 per cell]
Ru1 0.215 0.000 0.649 [4 per cell]


| no. | calculated volume (Å³ per atom) | total DFT energy (no corrections) (eV/atom) |
| --- | --- | --- |
| 1 | 17.6 | -4.38 |
| 2 | 11.4 | -10.01 |
| 3 | 21.1 | -3.30 |
| 4 | 32.3 | -4.45 |
| 5 | 17.2 | -5.56 |
| 6 | 22.1 | -4.19 |
| 7 | 24.4 | -4.91 |
| 8 | 24.6 | -3.23 |
| 9 | 60.4 | -3.27 |
| 10 | 33.2 | -4.55 |
| 11 | 38.3 | -4.35 |
| 12 | 16.9 | -6.09 |
| 13 | 21.9 | -6.50 |
| 14 | 37.5 | -4.45 |
| 15 | 14.2 | -5.80 |
| 16 | 15.3 | -4.30 |
| 17 | 28.1 | -4.30 |
| 18 | 21.5 | -5.50 |
| 19 | 23.5 | -8.00 |
| 20 | 9.0 | -4.59 |